A:
First-principles (GGA-PBE) data for a relaxed structure of Tl6Hg12Te, as listed in Alexandria.

Geometry as POSCAR:
```
Tl6Hg12Te
1.0
6.086 3.514 5.183
-6.086 3.514 5.183
0.000 -7.027 5.183
Tl Hg Te
6 12 1
direct
0.210 0.689 0.689
0.311 0.311 0.790
0.311 0.790 0.311
0.689 0.210 0.689
0.689 0.689 0.210
0.790 0.311 0.311
0.000 0.372 0.628
0.000 0.628 0.372
0.117 0.117 0.395
0.117 0.395 0.117
0.372 0.000 0.628
0.372 0.628 0.000
0.395 0.117 0.117
0.605 0.883 0.883
0.628 0.000 0.372
0.628 0.372 0.000
0.883 0.605 0.883
0.883 0.883 0.605
0.500 0.500 0.500
```

Output
DOS at the Fermi energy = 6.35 states/eV per cell
V = 34.99 A^3/atom
Crystal system = trigonal


B:
First-principles (GGA-PBE) data for a relaxed structure of Tl6Hg12Te, as listed in Alexandria.

Geometry as POSCAR:
```
Tl6Hg12Te
1.0
5.446 3.144 5.704
-5.446 3.144 5.704
0.000 -6.288 5.704
Tl Hg Te
6 12 1
direct
0.134 0.441 0.655
0.345 0.866 0.559
0.441 0.655 0.134
0.559 0.345 0.866
0.655 0.134 0.441
0.866 0.559 0.345
0.091 0.189 0.424
0.113 0.882 0.236
0.118 0.764 0.887
0.189 0.424 0.091
0.236 0.113 0.882
0.424 0.091 0.189
0.576 0.909 0.811
0.764 0.887 0.118
0.811 0.576 0.909
0.882 0.236 0.113
0.887 0.118 0.764
0.909 0.811 0.576
0.500 0.500 0.500
```

Output
DOS at the Fermi energy = 8.35 states/eV per cell
V = 30.84 A^3/atom
Crystal system = trigonal


If we sort the structures by their calculated energies, the order from most to least stable is B, A.